Record 1
Crystalline CuAs2Ru at its relaxed geometry, computed with GGA-PBE.

Distance to the lowest polymorph of the same formula = 20.8 meV per atom
Total energy = -5.624 eV per atom
D(E_F) = 2.27 states/eV/f.u.
Energy of formation = 0.044 eV per atom

Cell lengths 4.3676, 4.3676, 6.0763 Å; angles 71.29, 71.29, 41.11 degrees
Last column: nearest neighbours and their distance in Å.
Sites, in units of the cell vectors:
As1 0.0199 0.0199 0.1091  3 Ru 2.48-2.52, 2 Cu 2.77
Cu1 0.4839 0.4839 0.5031  3 As 2.34-2.49
As2 0.7284 0.7284 0.6207  3 Cu 2.34-2.49, 2 Ru 2.57
Ru1 0.2678 0.2678 0.2672  5 As 2.48-2.57, 3 Cu 2.63-2.74



Record 2
Crystalline CuAs2Ru at its relaxed geometry, computed with GGA-PBE.

Distance to the lowest polymorph of the same formula = 114.7 meV per atom
Total energy = -5.530 eV per atom
D(E_F) = 2.12 states/eV/f.u.
Energy of formation = 0.138 eV per atom

Cell lengths 4.3840, 4.3840, 4.3840 Å; angles 60.00, 60.00, 60.00 degrees
Last column: nearest neighbours and their distance in Å.
Sites, in units of the cell vectors:
Cu1 0.0000 0.0000 0.0000  8 As 2.68
Ru1 0.5000 0.5000 0.5000  8 As 2.68
As1 0.2500 0.2500 0.2500  4 Ru 2.68, 4 Cu 2.68
As2 0.7500 0.7500 0.7500  4 Cu 2.68, 4 Ru 2.68



Record 3
Crystalline CuAsRu at its relaxed geometry, computed with GGA-PBE.

Distance to the lowest polymorph of the same formula = 170.3 meV per atom
Total energy = -5.960 eV per atom
D(E_F) = 0.93 states/eV/f.u.
Energy of formation = 0.047 eV per atom

Cell lengths 4.0308, 4.0308, 4.0308 Å; angles 60.00, 60.00, 60.00 degrees
Last column: nearest neighbours and their distance in Å.
Sites, in units of the cell vectors:
As1 0.7500 0.7500 0.7500  4 Ru 2.47, 4 Cu 2.47
Ru1 0.5000 0.5000 0.5000  4 As 2.47
Cu1 0.0000 0.0000 0.0000  4 As 2.47



Record 4
Crystalline CuAsRu at its relaxed geometry, computed with GGA-PBE.

Distance to the lowest polymorph of the same formula = 138.0 meV per atom
Total energy = -5.992 eV per atom
D(E_F) = 0.42 states/eV/f.u.
Energy of formation = 0.015 eV per atom

Cell lengths 4.8743, 4.8743, 4.8743 Å; angles 142.86, 142.86, 53.54 degrees
Last column: nearest neighbours and their distance in Å.
Sites, in units of the cell vectors:
Ru1 0.6538 0.6538 0.0000  4 As 2.54, 5 Cu 2.73-2.74
Cu1 0.3394 0.3394 0.0000  5 As 2.64-2.89, 5 Ru 2.73-2.74
As1 0.0068 0.0068 0.0000  4 Ru 2.54, 4 Cu 2.64